VASP calculation (PBE) on LuThRh after structural relaxation.

a = 6.401 Å, b = 6.401 Å, c = 6.401 Å
α = 147.95°, β = 147.95°, γ = 45.95°
Fractional coordinates of all 3 atoms:
Lu 0.000 0.000 0.000
Th 0.719 0.719 0.000
Rh 0.357 0.357 0.000

Calculated values
* magnetization: 0.26 μB/f.u.
* DFT formation energy: -515 meV per atom
* energy above the most stable polymorph in this dataset: 0.000 eV/atom
* VASP energy: -20.84 eV per formula unit